DFT (PBE with a Hubbard U) results for a geometry-optimized BaNiH2F structure.

Unit cell a=3.770 b=3.770 c=4.779 alpha=90.00 beta=90.00 gamma=90.00
Fractional positions:
Ba  0.000  0.000  0.000
Ni  0.500  0.500  0.500
H  0.000  0.500  0.500
H  0.500  0.000  0.500
F  0.500  0.500  0.000

crystal system: tetragonal
mass density: 5.31 g/cm3
E: -3.618 eV per atom
calculated volume: 67.9 Å³ per cell
DOS at the Fermi energy: 0.00 states/eV/atom